In2HOs | the Alexandria database | PBE-GGA | optimized geometry; spin magnetization = 0.0 μB per formula unit; offset from the most stable computed form = 0.90 eV per formula unit
1.0
5.1000 0.0000 0.0000
0.0000 5.1000 0.0000
2.5500 2.5500 6.0845
H Os In
2 2 4
Direct
0.5000 0.5000 0.0000
0.2500 0.7500 0.5000
0.0000 0.0000 0.0000
0.7500 0.2500 0.5000
0.5365 0.1250 0.2500
0.2135 0.6250 0.2500
0.3750 0.4635 0.7500
0.8750 0.7865 0.7500